Record 1
Material: Pr7Sm2Mg
Method: DFT, GGA-PBE
State: optimized geometry

Summary:
**Uncorrected energy**: -3.8855 eV/atom
**Total magnetization**: 0.0 μB/f.u.
**Theoretical density**: 5.28 Mg/m³
**Density of states at the Fermi level**: 13.404 states/eV/f.u.
**Energy relative to the elements**: 0.563 eV/atom

a b c (Å): 9.284 9.284 5.672
angles (deg): 90.00 90.00 122.41
Atoms (fractional coordinates):
Pr (0.000, 0.000, 0.000)
Pr (0.211, 0.430, 0.000)
Pr (0.274, 0.726, 0.500)
Pr (0.430, 0.211, 0.000)
Pr (0.570, 0.789, 0.000)
Pr (0.726, 0.274, 0.500)
Pr (0.789, 0.570, 0.000)
Sm (0.207, 0.793, 0.000)
Sm (0.793, 0.207, 0.000)
Mg (0.500, 0.500, 0.500)

Record 2
Material: Pr4Sm5Mg
Method: DFT, GGA-PBE
State: optimized geometry

Summary:
**Uncorrected energy**: -4.2691 eV/atom
**Total magnetization**: 0.0 μB/f.u.
**Theoretical density**: 6.37 Mg/m³
**Density of states at the Fermi level**: 11.678 states/eV/f.u.
**Energy relative to the elements**: 0.162 eV/atom

a b c (Å): 8.218 8.218 8.218
angles (deg): 97.54 97.54 137.53
Atoms (fractional coordinates):
Pr (0.000, 0.317, 0.317)
Pr (0.000, 0.683, 0.683)
Pr (0.317, 0.000, 0.317)
Pr (0.683, 0.000, 0.683)
Sm (0.195, 0.195, 0.000)
Sm (0.301, 0.301, 0.630)
Sm (0.301, 0.671, 0.000)
Sm (0.671, 0.301, 0.000)
Sm (0.671, 0.671, 0.370)
Mg (0.718, 0.718, 0.000)

Question: What is the density of states at the Fermi level in the second record?
Answer: 11.678 states/eV/f.u.

Question: density of states at the Fermi level of number 1 (Pr7Sm2Mg)?
Answer: 13.404 states/eV/f.u.